Below is PmNdI4 after structural relaxation, with properties calculated at the PBE-GGA level.

Cell lengths 7.3186, 4.2276, 8.4878 Å; angles 90.00, 106.27, 90.00 degrees
Last column: nearest neighbours and their distance in Å.
Space group P2/m (No. 10)
Inequivalent atoms, fractional coordinates:
Pm: 0.0000 0.0000 0.0000 x1  6 I 3.17
Nd: 0.5000 0.5000 0.0000 x1  6 I 3.19
I: 0.2458 0.5000 0.2494 x2  2 Pm 3.17, 1 Nd 3.19
I: 0.2495 0.0000 0.7490 x2  1 Pm 3.17, 2 Nd 3.19

Values from the calculation:
As for the formation energy from raw total energies: -1.289 eV/atom. For the offset from the most stable computed form, the calculation gives 0 meV/atom.